Entry 1:
Entry from Alexandria: a PBEsol-optimized structure of Mn2Re2Os (meta-GGA SCAN).

The value obtained for the formation energy is 0.8898 eV/atom. As for the calculated total energy: -49.23 eV per atom. Its crystal system is tetragonal. The calculation puts the total magnetic moment at 0.001 μB/atom.

It has space group I4/mmm (No. 139), with a = 3.4507 Å, b = 3.4507 Å, c = 11.7773 Å, α = 90.00°, β = 90.00° and γ = 90.00°. Symmetry generates all atoms from Mn at (0.0000, 0.5000, 0.2500), Re at (0.0000, 0.0000, 0.1079) and Os at (0.0000, 0.0000, 0.5000).

***

Entry 2:
Entry from Alexandria: a PBEsol-optimized structure of SrTc2P (meta-GGA SCAN).

Its energy above the lowest structure with this stoichiometry is 0.0 kJ/mol of atoms. The value obtained for the formation energy is 0.2956 eV/atom. As for the calculated total energy: -25.40 eV per atom. Its crystal system is tetragonal. The calculation puts the total magnetic moment at 0.000 μB/atom.

It has space group P4/mmm (No. 123), with a = 2.9984 Å, b = 2.9984 Å, c = 7.6828 Å, α = 90.00°, β = 90.00° and γ = 90.00°. Symmetry generates all atoms from Sr at (0.0000, 0.0000, 0.0000), Tc at (0.5000, 0.5000, 0.3349) and P at (0.0000, 0.0000, 0.5000).